[1]
# TbPr2Dy4Tm2 PBE-GGA relaxed
# - E_form: 0.08 eV/atom
data_TbPr2Dy4Tm2
_chemical_formula_sum 'Tb1 Pr2 Dy4 Tm2'
_symmetry_space_group_name_H-M 'P -1'
_symmetry_Int_Tables_number 2
_cell_length_a 6.006
_cell_length_b 6.607
_cell_length_c 8.576
_cell_angle_alpha 80.02
_cell_angle_beta 70.62
_cell_angle_gamma 65.50
loop_
_symmetry_equiv_pos_as_xyz
'x,y,z'
'-x,-y,-z'
loop_
_atom_site_label
_atom_site_type_symbol
_atom_site_fract_x
_atom_site_fract_y
_atom_site_fract_z
Tb1 Tb 0.000 0.000 0.000
Pr1 Pr 0.270 0.675 0.658
Dy1 Dy 0.259 0.425 0.115
Dy2 Dy 0.383 0.874 0.238
Tm1 Tm 0.177 0.231 0.555

---

[2]
# Tb3Pr2Dy6Tm PBE-GGA relaxed
# - E_form: 0.02 eV/atom
data_Tb3Pr2Dy6Tm
_chemical_formula_sum 'Tb6 Pr4 Dy12 Tm2'
_symmetry_space_group_name_H-M 'C 1 2/m 1'
_symmetry_Int_Tables_number 12
_cell_length_a 6.184
_cell_length_b 10.705
_cell_length_c 11.831
_cell_angle_alpha 90.00
_cell_angle_beta 99.99
_cell_angle_gamma 90.00
loop_
_symmetry_equiv_pos_as_xyz
'x,y,z'
'-x,-y,-z'
'-x,y,-z'
'x,-y,z'
'x+1/2,y+1/2,z'
'-x+1/2,-y+1/2,-z'
'-x+1/2,y+1/2,-z'
'x+1/2,-y+1/2,z'
loop_
_atom_site_label
_atom_site_type_symbol
_atom_site_fract_x
_atom_site_fract_y
_atom_site_fract_z
Tb1 Tb 0.000 0.000 0.000
Tb2 Tb 0.000 0.334 0.000
Pr1 Pr 0.000 0.166 0.500
Dy1 Dy 0.248 0.500 0.247
Dy2 Dy 0.250 0.166 0.248
Tm1 Tm 0.000 0.500 0.500

---

[3]
# TbPr2Dy6Tm PBE-GGA relaxed
# - E_form: 0.12 eV/atom
data_TbPr2Dy6Tm
_chemical_formula_sum 'Tb4 Pr8 Dy24 Tm4'
_symmetry_space_group_name_H-M 'C 1 2/c 1'
_symmetry_Int_Tables_number 15
_cell_length_a 9.033
_cell_length_b 15.048
_cell_length_c 9.724
_cell_angle_alpha 90.00
_cell_angle_beta 99.09
_cell_angle_gamma 90.00
loop_
_symmetry_equiv_pos_as_xyz
'x,y,z'
'-x,-y,-z'
'-x,y,-z+1/2'
'x,-y,z+1/2'
'x+1/2,y+1/2,z'
'-x+1/2,-y+1/2,-z'
'-x+1/2,y+1/2,-z+1/2'
'x+1/2,-y+1/2,z+1/2'
loop_
_atom_site_label
_atom_site_type_symbol
_atom_site_fract_x
_atom_site_fract_y
_atom_site_fract_z
Tb1 Tb 0.000 0.017 0.250
Pr1 Pr 0.245 0.051 0.542
Dy1 Dy 0.066 0.191 0.943
Dy2 Dy 0.101 0.395 0.119
Dy3 Dy 0.202 0.222 0.312
Tm1 Tm 0.000 0.407 0.750

---

[4]
# TbPrDyTm2 PBE-GGA relaxed
# - E_form: 0.37 eV/atom
data_TbPrDyTm2
_chemical_formula_sum 'Tb4 Pr4 Dy4 Tm8'
_symmetry_space_group_name_H-M 'C m c m'
_symmetry_Int_Tables_number 63
_symmetry_space_group_name_Hall '-C 2c 2'
_cell_length_a 8.370
_cell_length_b 11.467
_cell_length_c 7.181
_cell_angle_alpha 90.00
_cell_angle_beta 90.00
_cell_angle_gamma 90.00
loop_
_atom_site_label
_atom_site_type_symbol
_atom_site_fract_x
_atom_site_fract_y
_atom_site_fract_z
Tb1 Tb 0.000 0.000 0.250
Pr1 Pr 0.000 0.272 0.250
Dy1 Dy 0.000 0.279 0.750
Tm1 Tm 0.188 0.500 0.000

---

Repeat the second record exactly.
# Tb3Pr2Dy6Tm PBE-GGA relaxed
# - E_form: 0.02 eV/atom
data_Tb3Pr2Dy6Tm
_chemical_formula_sum 'Tb6 Pr4 Dy12 Tm2'
_symmetry_space_group_name_H-M 'C 1 2/m 1'
_symmetry_Int_Tables_number 12
_cell_length_a 6.184
_cell_length_b 10.705
_cell_length_c 11.831
_cell_angle_alpha 90.00
_cell_angle_beta 99.99
_cell_angle_gamma 90.00
loop_
_symmetry_equiv_pos_as_xyz
'x,y,z'
'-x,-y,-z'
'-x,y,-z'
'x,-y,z'
'x+1/2,y+1/2,z'
'-x+1/2,-y+1/2,-z'
'-x+1/2,y+1/2,-z'
'x+1/2,-y+1/2,z'
loop_
_atom_site_label
_atom_site_type_symbol
_atom_site_fract_x
_atom_site_fract_y
_atom_site_fract_z
Tb1 Tb 0.000 0.000 0.000
Tb2 Tb 0.000 0.334 0.000
Pr1 Pr 0.000 0.166 0.500
Dy1 Dy 0.248 0.500 0.247
Dy2 Dy 0.250 0.166 0.248
Tm1 Tm 0.000 0.500 0.500

---

Look up the E_form of the third one.
0.12 eV/atom

---

The highest E_form belongs to which entry?
TbPrDyTm2